[1]
A relaxed CaNbSe2 crystal, computed with PBEsol.

Lattice parameters (Å, degrees): 6.7017 6.7017 6.7017 90.00 90.00 90.00
Sites, in units of the cell vectors:
1 Ca 0.0000 0.0000 0.0000
2 Ca 0.0000 0.5000 0.5000
3 Ca 0.5000 0.0000 0.5000
4 Ca 0.5000 0.5000 0.0000
5 Nb 0.0000 0.0000 0.5000
6 Nb 0.0000 0.5000 0.0000
7 Nb 0.5000 0.0000 0.0000
8 Nb 0.5000 0.5000 0.5000
9 Se 0.2500 0.2500 0.2500
10 Se 0.2500 0.2500 0.7500
11 Se 0.2500 0.7500 0.2500
12 Se 0.2500 0.7500 0.7500
13 Se 0.7500 0.2500 0.2500
14 Se 0.7500 0.2500 0.7500
15 Se 0.7500 0.7500 0.2500
16 Se 0.7500 0.7500 0.7500

Output
space-group type: No. 225
calculated density: 6.4 g/cm³
ΔE to the lowest computed polymorph: 0.000 eV per atom
uncorrected formation energy: -858 meV per atom
DOS(E_F): 14.4 states/eV per cell

---

[2]
A relaxed Hg2PtW crystal, computed with PBEsol.

Lattice parameters (Å, degrees): 2.9411 2.9411 27.8223 90.00 90.00 120.00
Sites, in units of the cell vectors:
1 Hg 0.0000 0.0000 0.2488
2 Hg 0.0000 0.0000 0.7512
3 Hg 0.3333 0.6667 0.4179
4 Hg 0.3333 0.6667 0.9154
5 Hg 0.6667 0.3333 0.0846
6 Hg 0.6667 0.3333 0.5821
7 Pt 0.0000 0.0000 0.5000
8 Pt 0.3333 0.6667 0.1667
9 Pt 0.6667 0.3333 0.8333
10 W 0.0000 0.0000 0.0000
11 W 0.3333 0.6667 0.6667
12 W 0.6667 0.3333 0.3333

Output
space-group type: No. 166
calculated density: 18.6 g/cm³
ΔE to the lowest computed polymorph: 0.000 eV per atom
DOS(E_F): 10.2 states/eV per cell
energy of formation: 0.4401 eV per atom

---

[3]
A relaxed Zr2InPt crystal, computed with PBEsol.

Lattice parameters (Å, degrees): 4.3349 3.4598 10.7844 90.00 90.00 90.00
Sites, in units of the cell vectors:
1 Zr 0.0000 0.0000 0.0000
2 Zr 0.0000 0.5000 0.5000
3 Zr 0.5000 0.0000 0.3102
4 Zr 0.5000 0.5000 0.8102
5 In 0.0000 0.0000 0.7274
6 In 0.0000 0.5000 0.2274
7 Pt 0.5000 0.0000 0.5643
8 Pt 0.5000 0.5000 0.0643

Output
space-group type: No. 38
calculated density: 10.1 g/cm³
DOS(E_F): 7.2 states/eV per cell
energy of formation: -0.5763 eV per atom